A geometry-optimized Fe4Ru3 structure. Source: Alexandria, functional GGA-PBE.

POSCAR file:
```
Fe4Ru3
1.0
2.858 0.000 0.000
0.000 2.858 0.000
0.000 0.000 21.879
Fe Ru
8 6
direct
0.000 0.000 0.072
0.000 0.000 0.364
0.000 0.000 0.636
0.000 0.000 0.928
0.500 0.500 0.136
0.500 0.500 0.428
0.500 0.500 0.572
0.500 0.500 0.864
0.000 0.000 0.209
0.000 0.000 0.500
0.000 0.000 0.791
0.500 0.500 0.000
0.500 0.500 0.291
0.500 0.500 0.709
```

Computed properties:
ΔE_f = 0.12 eV per atom
total magnetic moment = 22.11 μB/cell



A geometry-optimized Sc2FeW structure. Source: Alexandria, functional GGA-PBE.

POSCAR file:
```
Sc2FeW
1.0
6.478 0.000 0.000
0.000 6.478 0.000
0.000 0.000 6.478
Sc Fe W
8 4 4
direct
0.250 0.250 0.250
0.250 0.250 0.750
0.250 0.750 0.250
0.250 0.750 0.750
0.750 0.250 0.250
0.750 0.250 0.750
0.750 0.750 0.250
0.750 0.750 0.750
0.000 0.000 0.000
0.000 0.500 0.500
0.500 0.000 0.500
0.500 0.500 0.000
0.000 0.000 0.500
0.000 0.500 0.000
0.500 0.000 0.000
0.500 0.500 0.500
```

Computed properties:
ΔE_f = 0.43 eV per atom
total magnetic moment = 0.00 μB/cell



A geometry-optimized LaEuHo structure. Source: Alexandria, functional GGA-PBE.

POSCAR file:
```
LaEuHo
1.0
3.730 0.000 0.000
0.000 3.730 0.000
0.000 0.000 15.629
La Eu Ho
2 2 2
direct
0.000 0.000 0.000
0.500 0.500 0.500
0.000 0.000 0.321
0.500 0.500 0.821
0.000 0.000 0.653
0.500 0.500 0.153
```

Computed properties:
ΔE_f = 0.05 eV per atom
total magnetic moment = 14.52 μB/cell



A geometry-optimized V3Co3Pt2 structure. Source: Alexandria, functional GGA-PBE.

POSCAR file:
```
V3Co3Pt2
1.0
3.700 0.000 0.000
0.000 3.732 0.000
0.000 0.000 7.337
V Co Pt
3 3 2
direct
0.000 0.000 0.000
0.500 0.000 0.257
0.500 0.000 0.743
0.000 0.000 0.500
0.500 0.500 0.000
0.500 0.500 0.500
0.000 0.500 0.254
0.000 0.500 0.746
```

Computed properties:
ΔE_f = -0.32 eV per atom
total magnetic moment = 0.00 μB/cell



A geometry-optimized NaCoCu2Br6 structure. Source: Alexandria, functional GGA-PBE.

POSCAR file:
```
NaCoCu2Br6
1.0
6.043 -5.984 0.000
6.043 5.984 0.000
-0.941 0.000 6.804
Na Co Cu Br
2 2 4 12
direct
0.082 0.918 0.750
0.918 0.082 0.250
0.265 0.735 0.250
0.735 0.265 0.750
0.247 0.425 0.705
0.425 0.247 0.205
0.575 0.753 0.795
0.753 0.575 0.295
0.009 0.240 0.645
0.148 0.630 0.928
0.240 0.009 0.145
0.281 0.466 0.362
0.370 0.852 0.572
0.466 0.281 0.862
0.534 0.719 0.138
0.630 0.148 0.428
0.719 0.534 0.638
0.760 0.991 0.855
0.852 0.370 0.072
0.991 0.760 0.355
```

Computed properties:
final energy = -3.171 eV per atom
total magnetic moment = 0.00 μB/cell



A geometry-optimized Si2NiAu structure. Source: Alexandria, functional GGA-PBE.

POSCAR file:
```
Si2NiAu
1.0
5.402 0.000 0.000
0.000 5.424 0.000
0.000 0.000 8.397
Si Ni Au
8 4 4
direct
0.000 0.250 0.250
0.000 0.250 0.750
0.000 0.750 0.250
0.000 0.750 0.750
0.500 0.250 0.250
0.500 0.250 0.750
0.500 0.750 0.250
0.500 0.750 0.750
0.000 0.000 0.000
0.000 0.500 0.500
0.500 0.000 0.500
0.500 0.500 0.000
0.000 0.000 0.500
0.000 0.500 0.000
0.500 0.000 0.000
0.500 0.500 0.500
```

Computed properties:
final energy = -4.821 eV per atom
total magnetic moment = 0.00 μB/cell



A geometry-optimized CoW2 structure. Source: Alexandria, functional GGA-PBE.

POSCAR file:
```
CoW2
1.0
5.199 0.000 0.000
-2.599 4.502 0.000
0.000 0.000 8.274
Co W
4 8
direct
0.333 0.667 0.065
0.333 0.667 0.435
0.667 0.333 0.565
0.667 0.333 0.935
0.000 0.000 0.000
0.000 0.000 0.500
0.171 0.342 0.750
0.171 0.829 0.750
0.342 0.171 0.250
0.658 0.829 0.750
0.829 0.171 0.250
0.829 0.658 0.250
```

Computed properties:
ΔE_f = 0.83 eV per atom
total magnetic moment = 2.97 μB/cell



A geometry-optimized TbGa3Ir2 structure. Source: Alexandria, functional GGA-PBE.

POSCAR file:
```
TbGa3Ir2
1.0
8.394 -2.015 0.000
8.394 2.015 0.000
-1.981 0.000 9.535
Tb Ga Ir
3 9 6
direct
0.000 0.000 0.000
0.154 0.154 0.710
0.846 0.846 0.290
0.057 0.057 0.346
0.226 0.226 0.373
0.353 0.353 0.063
0.358 0.358 0.805
0.500 0.500 0.500
0.642 0.642 0.195
0.647 0.647 0.937
0.774 0.774 0.627
0.943 0.943 0.654
0.208 0.208 0.092
0.359 0.359 0.543
0.487 0.487 0.230
0.513 0.513 0.770
0.641 0.641 0.457
0.792 0.792 0.908
```

Computed properties:
ΔE_f = -0.63 eV per atom
total magnetic moment = 0.00 μB/cell